(1)
TePW | GGA-PBE | optimized geometry

a = 4.4962 Å, b = 4.4962 Å, c = 4.4962 Å
α = 60.00°, β = 60.00°, γ = 60.00°
Fractional coordinates of all 3 atoms:
Te1 0.5000 0.5000 0.5000
P1 0.0000 0.0000 0.0000
W1 0.2500 0.2500 0.2500

Its energy relative to the elements, uncorrected is 564 meV/atom. For the magnetization, the calculation gives 1.847 μB/cell. The energy above the most stable polymorph in this dataset comes out at 1.45 eV/f.u. As for the density of states at the Fermi level: 0.842 states/eV per atom. The space group is F-43m.

(2)
TbHo2Tl | GGA-PBE | optimized geometry

a = 3.6223 Å, b = 6.6571 Å, c = 10.2303 Å
α = 90.00°, β = 90.00°, γ = 105.79°
Fractional coordinates of all 8 atoms:
Tb1 0.9611 0.9216 0.2500
Tb2 0.0389 0.0784 0.7500
Ho1 0.3690 0.7379 0.5295
Ho2 0.6310 0.2621 0.4705
Ho3 0.3690 0.7379 0.9705
Ho4 0.6310 0.2621 0.0295
Tl1 0.7570 0.5139 0.7500
Tl2 0.2430 0.4861 0.2500

The energy relative to the elements is -164.5 meV per atom. For the magnetization, the calculation gives 0.000 μB/cell. The energy above the most stable polymorph in this dataset comes out at 0.05 eV/f.u. As for the density of states at the Fermi level: 1.266 states/eV per atom. The space group is Cmcm.

(3)
Sm4Co3Rh | GGA-PBE | optimized geometry

a = 4.0386 Å, b = 3.9769 Å, c = 10.7570 Å
α = 90.00°, β = 90.00°, γ = 90.00°
Fractional coordinates of all 8 atoms:
Rh1 0.5000 0.5000 0.0745
Co1 0.0000 0.5000 0.5526
Co2 0.0000 0.0000 0.4492
Co3 0.5000 0.0000 0.9213
Sm1 0.5000 0.5000 0.3597
Sm2 0.0000 0.5000 0.8559
Sm3 0.0000 0.0000 0.1413
Sm4 0.5000 0.0000 0.6457

The energy relative to the elements is -262.6 meV per atom. For the magnetization, the calculation gives 0.743 μB/cell. As for the density of states at the Fermi level: 0.676 states/eV per atom. The space group is Pmm2.

(4)
H2IBr2 | GGA-PBE | optimized geometry

a = 4.7995 Å, b = 3.2998 Å, c = 12.9167 Å
α = 58.72°, β = 90.91°, γ = 106.81°
Fractional coordinates of all 5 atoms:
H1 0.6957 0.4399 0.2071
H2 0.3043 0.5602 0.7929
I1 0.0000 0.0001 0.0000
Br1 0.5088 0.1052 0.3290
Br2 0.4913 0.8948 0.6710

For the magnetization, the calculation gives 0.002 μB/cell. The energy above the most stable polymorph in this dataset comes out at 0.64 eV/f.u. As for the density of states at the Fermi level: 0.761 states/eV per atom. The space group is P-1.

Number 1: calculated total energy -19.813 eV/f.u., volume 21.424 A^3/atom. Number 2: calculated total energy -16.810 eV/f.u., volume 29.672 A^3/atom. Number 3: calculated total energy -49.646 eV/f.u., volume 21.596 A^3/atom. Number 4: calculated total energy -11.890 eV/f.u., volume 33.017 A^3/atom.